Record 1
Computed, not measured: a geometry-optimized Sr2SnHgPd6 structure at the PBE level of DFT.

Results
**Energy of formation**: -2.398 kcal/mol of atoms
**Electronic total energy**: -3.987 eV/atom

Lattice parameters (Å, degrees): 10.1437 10.1437 10.1437 90.00 90.00 90.00
Last column: nearest neighbours and their distance in Å.
Space group Fm-3m (No. 225)
One atom of each set of equivalent atoms:
Sr1 0.2500 0.2500 0.2500 x8  12 Pd 3.59
Sn1 0.0000 0.0000 0.0000 x4  6 Pd 2.49
Hg1 0.0000 0.0000 0.5000 x4  6 Pd 2.58
Pd1 0.0000 0.0000 0.2454 x24  1 Sn 2.49, 1 Hg 2.58

---

Record 2
Computed, not measured: a geometry-optimized Nd8HgBi2 structure at the PBE level of DFT.

Results
**Energy of formation**: -7.787 kcal/mol of atoms
**Electronic total energy**: -4.538 eV/atom

Lattice parameters (Å, degrees): 19.7195 5.0858 7.4074 90.00 97.79 90.00
Last column: nearest neighbours and their distance in Å.
Space group C2/m (No. 12)
One atom of each set of equivalent atoms:
Nd1 0.0079 0.0000 0.2608 x4  2 Hg 3.12, 1 Bi 3.35
Nd2 0.0935 0.5000 0.9970 x4  2 Bi 3.55, 9 Nd 3.62-3.81, 1 Hg 3.89
Nd3 0.1597 0.5000 0.5378 x4  1 Hg 3.12, 3 Bi 3.24-3.30
Nd4 0.2152 0.0000 0.8534 x4  3 Bi 3.32-3.52, 4 Nd 3.50-3.53
Hg1 0.0000 0.5000 0.5000 x2  6 Nd 3.12
Bi1 0.1782 0.0000 0.2775 x4  9 Nd 3.24-3.55

---

Record 3
Computed, not measured: a geometry-optimized Nd2DySn3 structure at the PBE level of DFT.

Results
**Energy of formation**: -13.459 kcal/mol of atoms
**Electronic total energy**: -4.941 eV/atom

Lattice parameters (Å, degrees): 5.2260 6.3413 11.2039 90.00 90.00 90.00
Last column: nearest neighbours and their distance in Å.
Space group Immm (No. 71)
One atom of each set of equivalent atoms:
Nd1 0.0000 0.0000 0.1717 x4  6 Sn 3.18-3.27
Dy1 0.0000 0.0000 0.5000 x2  6 Sn 3.12-3.17
Sn1 0.0000 0.5000 0.1521 x4  2 Dy 3.12, 4 Nd 3.18-3.27, 1 Sn 3.41
Sn2 0.0000 0.5000 0.5000 x2  2 Dy 3.17, 4 Nd 3.25

---

Record 4
Computed, not measured: a geometry-optimized RbAs2Pb2O6 structure at the PBE level of DFT.

Results
**Electronic total energy**: -5.541 eV/atom

Lattice parameters (Å, degrees): 5.4927 6.8025 7.4023 110.61 91.12 112.22
Last column: nearest neighbours and their distance in Å.
Space group P-1 (No. 2)
One atom of each set of equivalent atoms:
Rb1 0.0000 0.0000 0.0000 x1  6 O 2.92-3.23
As1 0.3596 0.7870 0.2890 x2  3 O 1.76-1.79
Pb1 0.2972 0.5791 0.7322 x2  3 O 2.26-2.32
O1 0.0205 0.7457 0.2604 x2  1 As 1.77
O2 0.3470 0.5249 0.3016 x2  1 As 1.79
O3 0.4549 0.7921 0.0649 x2  1 As 1.76

---

Record 5
Computed, not measured: a geometry-optimized SrTaBe2Ru structure at the PBE level of DFT.

Results
**Energy of formation**: 56.158 kcal/mol of atoms
**Electronic total energy**: -3.617 eV/atom

Lattice parameters (Å, degrees): 4.5083 4.5083 4.6264 90.00 90.00 90.00
Last column: nearest neighbours and their distance in Å.
Space group P4/mmm (No. 123)
One atom of each set of equivalent atoms:
Sr1 0.0000 0.0000 0.0000 x1  4 Be 2.25, 2 Ru 2.31
Ta1 0.5000 0.5000 0.5000 x1  4 Ru 3.19, 8 Be 3.23
Be1 0.0000 0.5000 0.0000 x2  2 Sr 2.25
Ru1 0.0000 0.0000 0.5000 x1  2 Sr 2.31

---

Record 6
Computed, not measured: a geometry-optimized LaScRh3 structure at the PBE level of DFT.

Results
**Energy of formation**: 13.744 kcal/mol of atoms
**Electronic total energy**: -6.067 eV/atom
**ΔE to the lowest computed polymorph**: 759 meV per atom

Lattice parameters (Å, degrees): 4.8936 4.8936 4.8936 90.00 90.00 90.00
Last column: nearest neighbours and their distance in Å.
Space group Pm-3m (No. 221)
One atom of each set of equivalent atoms:
La1 0.0000 0.0000 0.0000 x1  6 Rh 2.45
Sc1 0.5000 0.5000 0.5000 x1  12 Rh 3.46
Rh1 0.0000 0.0000 0.5000 x3  2 La 2.45

---

Record 7
Computed, not measured: a geometry-optimized LiSn4Rh5 structure at the PBE level of DFT.

Results
**Energy of formation**: -6.128 kcal/mol of atoms
**Electronic total energy**: -5.734 eV/atom

Lattice parameters (Å, degrees): 8.6890 9.0804 4.5727 90.00 90.00 90.00
Last column: nearest neighbours and their distance in Å.
Space group Pmmn (No. 59, origin choice 2)
One atom of each set of equivalent atoms:
Li1 0.2500 0.2500 0.2342 x2  4 Rh 2.51
Sn1 0.0635 0.7500 0.4836 x4  6 Rh 2.70-2.85, 1 Li 3.01
Sn2 0.2500 0.0313 0.7511 x4  7 Rh 2.70-2.93, 1 Li 2.97
Rh1 0.0822 0.0254 0.2470 x8  1 Li 2.51, 4 Sn 2.70-2.73, 2 Rh 2.71-2.76
Rh2 0.2500 0.7500 0.9967 x2  6 Sn 2.75-2.85

---

Record 8
Computed, not measured: a geometry-optimized Ce2SiTe structure at the PBE level of DFT.

Results
**Electronic total energy**: -6.099 eV/atom
**ΔE to the lowest computed polymorph**: 0 meV per atom

Lattice parameters (Å, degrees): 4.3194 4.3194 21.6066 90.00 90.00 120.00
Last column: nearest neighbours and their distance in Å.
Space group R-3m (No. 166, hexagonal axes)
One atom of each set of equivalent atoms:
Ce1 0.0000 0.0000 0.2411 x6  3 Si 2.97, 3 Te 3.19
Si1 0.0000 0.0000 0.5000 x3  6 Ce 2.97
Te1 0.0000 0.0000 0.0000 x3  6 Ce 3.19

---

Record 9
Computed, not measured: a geometry-optimized InReAg2 structure at the PBE level of DFT.

Results
**Energy of formation**: 14.220 kcal/mol of atoms
**Electronic total energy**: -4.606 eV/atom

Lattice parameters (Å, degrees): 2.9199 5.0028 9.7458 90.00 90.00 90.00
Last column: nearest neighbours and their distance in Å.
Space group Imm2 (No. 44)
One atom of each set of equivalent atoms:
In1 0.0000 0.0000 0.0000 x2  2 Re 2.83, 6 Ag 2.85-2.90, 2 In 2.92
Re1 0.0000 0.5000 0.7491 x2  2 In 2.83, 6 Ag 2.84-2.90, 2 Re 2.92
Ag1 0.0000 0.0000 0.4990 x2  2 Re 2.84, 4 Ag 2.84-2.92, 4 In 2.90
Ag2 0.0000 0.5000 0.2491 x2  4 Ag 2.84-2.92, 2 In 2.85, 4 Re 2.90

---

Record 10
Computed, not measured: a geometry-optimized Cs6Na7 structure at the PBE level of DFT.

Results
**Energy of formation**: 0.676 kcal/mol of atoms
**Electronic total energy**: -1.075 eV/atom

Lattice parameters (Å, degrees): 8.0901 8.0901 45.5814 90.00 90.00 120.00
Last column: nearest neighbours and their distance in Å.
Space group R-3m (No. 166, hexagonal axes)
One atom of each set of equivalent atoms:
Cs1 0.0000 0.0000 0.0536 x6  6 Na 4.47, 2 Cs 4.55-4.89
Cs2 0.0000 0.0000 0.1534 x6  12 Na 4.52-4.83, 4 Cs 4.55-4.82
Cs3 0.0000 0.0000 0.3329 x6  3 Cs 4.67, 6 Na 4.94
Na1 0.0000 0.0000 0.5000 x3  6 Na 3.98
Na2 0.0049 0.5024 0.0955 x18  5 Na 3.98-4.10

---

Record 11
Computed, not measured: a geometry-optimized SmHfPtRh structure at the PBE level of DFT.

Results
**Energy of formation**: -18.360 kcal/mol of atoms
**Electronic total energy**: -7.812 eV/atom

Lattice parameters (Å, degrees): 6.8327 6.8327 6.8327 90.00 90.00 90.00
Last column: nearest neighbours and their distance in Å.
Space group F-43m (No. 216)
One atom of each set of equivalent atoms:
Sm1 0.0000 0.0000 0.0000 x4  4 Rh 2.96, 4 Pt 2.96
Hf1 0.0000 0.0000 0.5000 x4  4 Rh 2.96, 4 Pt 2.96
Pt1 0.2500 0.2500 0.7500 x4  4 Hf 2.96, 4 Sm 2.96
Rh1 0.2500 0.2500 0.2500 x4  4 Hf 2.96, 4 Sm 2.96

---

Record 12
Computed, not measured: a geometry-optimized ReN2F2 structure at the PBE level of DFT.

Results
**Electronic total energy**: -6.467 eV/atom
**ΔE to the lowest computed polymorph**: 192 meV per atom

Lattice parameters (Å, degrees): 4.8407 4.8407 5.0657 90.00 90.00 90.00
Last column: nearest neighbours and their distance in Å.
Space group I4/mmm (No. 139)
One atom of each set of equivalent atoms:
Re1 0.0000 0.0000 0.0000 x2  2 N 1.96
N1 0.0000 0.0000 0.3874 x4  1 N 1.14
F1 0.0000 0.5000 0.2500 x4  4 N 2.52, 2 F 2.53, 4 Re 2.73